A plane-wave DFT calculation with GGA+U was carried out for an optimized crystal structure of Ba2MnAgO4.

Cell: 5.7270 5.7270 5.7270 Å, 100.09 114.36 114.36°
Closest atoms and distances in Å follow each position.
Sites, in units of the cell vectors:
Ba: 0.0000 0.0000 0.0000  4 O 2.68
Ba: 0.5000 0.7500 0.2500  4 O 2.64
Ag: 0.5000 0.2500 0.7500  4 O 2.39
O: 0.5893 0.3708 0.4035  1 Mn 1.93
O: 0.9672 0.5965 0.1857  1 Mn 1.93
O: 0.4107 0.8143 0.7815  1 Mn 1.93
O: 0.0328 0.2185 0.6292  1 Mn 1.93
Mn: 0.0000 0.5000 0.5000  4 O 1.93

As for the total energy: -5.916 eV/atom. The magnetic moment comes out at 3.98 Bohr magnetons per cell. Its space group is I-4, No. 82. The density comes out at 5.87 g cm⁻³.